Ac2Ga2Au3, relaxed, DFT GGA-PBE; energy above the lowest structure with this stoichiometry = 0.059 eV per atom; formation energy from the elements = -4.6 eV/f.u.; density = 11.50 g/cm³
1.0
4.5231 0.0000 0.0000
-2.2616 5.6164 -0.0087
0.0000 -2.5950 6.7369
Au Ga Ac
3 2 2
Cartesian
2.2616 0.1145 2.8485
2.2616 0.0000 0.0000
0.0000 2.9069 3.8796
0.0000 1.1433 1.7018
2.2616 1.8781 5.0264
0.0000 -0.4585 5.1694
2.2615 3.4799 1.5588